A relaxed AcPmAgRh crystal. Source: Alexandria via LeMat-Bulk, functional PBE.

a b c (Å): 7.4529 7.4529 7.4529
angles (deg): 90.00 90.00 90.00
Closest atoms and distances in Å follow each position.
Space group F-43m (No. 216)
Symmetry-distinct sites (fractional):
1 Ac 0.0000 0.0000 0.0000 x4  4 Rh 3.23, 4 Ag 3.23
2 Pm 0.0000 0.0000 0.5000 x4  4 Rh 3.23, 4 Ag 3.23
3 Ag 0.2500 0.2500 0.2500 x4  4 Ac 3.23, 4 Pm 3.23
4 Rh 0.2500 0.2500 0.7500 x4  4 Ac 3.23, 4 Pm 3.23

Computed properties:
- formation energy (eV/f.u.) = -1.58


A relaxed SbP3 crystal. Source: Alexandria via LeMat-Bulk, functional PBE.

a b c (Å): 3.6423 3.6423 5.6190
angles (deg): 90.00 90.00 90.00
Closest atoms and distances in Å follow each position.
Space group P4/mmm (No. 123)
Symmetry-distinct sites (fractional):
1 Sb 0.0000 0.0000 0.0000 x1  10 P 2.81-3.10
2 P 0.0000 0.0000 0.5000 x1  8 P 2.80, 2 Sb 2.81
3 P 0.5000 0.5000 0.3056 x2  1 P 2.18

Computed properties:
- distance to the lowest polymorph of the same formula (meV/atom) = 426
- energy relative to the elements, uncorrected (eV per atom) = 0.62


A relaxed Ce8Tc3Os2 crystal. Source: Alexandria via LeMat-Bulk, functional PBE.

a b c (Å): 14.6308 7.9103 6.2691
angles (deg): 90.00 113.04 90.00
Closest atoms and distances in Å follow each position.
Space group C2/m (No. 12)
Symmetry-distinct sites (fractional):
1 Ce 0.1104 0.0000 0.2429 x4  1 Os 2.66, 1 Tc 2.69
2 Ce 0.1184 0.2559 0.7552 x8  2 Os 2.66-2.93, 2 Tc 2.74-2.77
3 Ce 0.1542 0.5000 0.2705 x4  2 Tc 2.66, 1 Os 2.97
4 Tc 0.0000 0.0000 0.5000 x2  6 Ce 2.69-2.74
5 Tc 0.0000 0.3159 0.0000 x4  4 Ce 2.66-2.77, 1 Tc 2.91
6 Os 0.2481 0.0000 0.0650 x4  6 Ce 2.66-2.97

Computed properties:
- formation energy (eV/f.u.) = 0.09


A relaxed BaNaCd2Rh crystal. Source: Alexandria via LeMat-Bulk, functional PBE.

a b c (Å): 5.2985 5.2985 5.3262
angles (deg): 90.00 90.00 90.00
Closest atoms and distances in Å follow each position.
Space group P4/mmm (No. 123)
Symmetry-distinct sites (fractional):
1 Ba 0.0000 0.0000 0.0000 x1  4 Na 3.75, 8 Cd 3.76
2 Na 0.5000 0.5000 0.0000 x1  2 Rh 2.66
3 Cd 0.0000 0.5000 0.5000 x2  2 Rh 2.65
4 Rh 0.5000 0.5000 0.5000 x1  4 Cd 2.65, 2 Na 2.66

Computed properties:
- distance to the lowest polymorph of the same formula (meV/atom) = 0
- formation energy (eV/f.u.) = -0.46


A relaxed BaCrIn2 crystal. Source: Alexandria via LeMat-Bulk, functional PBE.

a b c (Å): 8.3852 4.8420 6.8190
angles (deg): 90.00 114.26 90.00
Closest atoms and distances in Å follow each position.
Space group Cm (No. 8)
Symmetry-distinct sites (fractional):
1 Ba 0.0000 0.0000 0.0000 x2  4 Cr 3.51-3.89, 7 In 3.68-3.82
2 Cr 0.1881 0.0000 0.5651 x2  6 In 2.81-3.01
3 In 0.0357 0.5000 0.6076 x2  3 Cr 2.81, 3 In 3.12
4 In 0.2948 0.5000 0.3854 x2  3 Cr 3.01, 3 In 3.12

Computed properties:
- formation energy (eV/f.u.) = 0.09


A relaxed PrSmGaHg crystal. Source: Alexandria via LeMat-Bulk, functional PBE.

a b c (Å): 7.5507 7.5507 7.5507
angles (deg): 90.00 90.00 90.00
Closest atoms and distances in Å follow each position.
Space group F-43m (No. 216)
Symmetry-distinct sites (fractional):
1 Pr 0.0000 0.0000 0.0000 x4  4 Ga 3.27, 4 Hg 3.27
2 Sm 0.0000 0.0000 0.5000 x4  4 Hg 3.27, 4 Ga 3.27
3 Ga 0.2500 0.2500 0.7500 x4  4 Sm 3.27, 4 Pr 3.27
4 Hg 0.2500 0.2500 0.2500 x4  4 Pr 3.27, 4 Sm 3.27

Computed properties:
- distance to the lowest polymorph of the same formula (meV/atom) = 23
- formation energy (eV/f.u.) = -1.98


A relaxed BeV2GeH crystal. Source: Alexandria via LeMat-Bulk, functional PBE.

a b c (Å): 3.6989 3.6989 3.8048
angles (deg): 90.00 90.00 90.00
Closest atoms and distances in Å follow each position.
Space group P4/mmm (No. 123)
Symmetry-distinct sites (fractional):
1 Be 0.0000 0.0000 0.0000 x1  2 H 1.90
2 V 0.0000 0.5000 0.5000 x2  2 H 1.85
3 Ge 0.5000 0.5000 0.0000 x1  4 Be 2.62, 8 V 2.65
4 H 0.0000 0.0000 0.5000 x1  4 V 1.85, 2 Be 1.90


A relaxed Pm4Ag2Hg crystal. Source: Alexandria via LeMat-Bulk, functional PBE.

a b c (Å): 7.4856 7.4856 7.3388
angles (deg): 90.00 90.00 90.00
Closest atoms and distances in Å follow each position.
Space group I4/mmm (No. 139)
Symmetry-distinct sites (fractional):
1 Pm 0.2500 0.2500 0.2500 x8  2 Hg 3.22, 4 Ag 3.22
2 Ag 0.0000 0.5000 0.0000 x4  8 Pm 3.22
3 Hg 0.0000 0.0000 0.0000 x2  8 Pm 3.22

Computed properties:
- distance to the lowest polymorph of the same formula (meV/atom) = 0
- formation energy (eV/f.u.) = -1.25


A relaxed Nd12H5Pb3 crystal. Source: Alexandria via LeMat-Bulk, functional PBE.

a b c (Å): 16.2740 16.2740 16.2740
angles (deg): 90.00 90.00 90.00
Closest atoms and distances in Å follow each position.
Space group Ia-3d (No. 230)
Symmetry-distinct sites (fractional):
1 Nd 0.0417 0.0548 0.6502 x96  1 H 2.30
2 H 0.0000 0.0000 0.0000 x16  6 Nd 2.69
3 H 0.0000 0.2500 0.3750 x24  4 Nd 2.30
4 Pb 0.0000 0.2500 0.1250 x24  8 Nd 3.27-3.29


A relaxed BeTc2Ir crystal. Source: Alexandria via LeMat-Bulk, functional PBE.

a b c (Å): 2.8124 4.3683 8.4321
angles (deg): 90.00 90.00 90.00
Closest atoms and distances in Å follow each position.
Space group Imm2 (No. 44)
Symmetry-distinct sites (fractional):
1 Be 0.0000 0.0000 0.0000 x2  2 Ir 2.29, 2 Tc 2.36
2 Tc 0.0000 0.0000 0.4925 x2  4 Be 2.60, 4 Ir 2.73-2.88, 6 Tc 2.76-2.85
3 Tc 0.0000 0.5000 0.2747 x2  2 Be 2.36, 4 Ir 2.65
4 Ir 0.0000 0.5000 0.7150 x2  2 Be 2.29

Computed properties:
- formation energy (eV/f.u.) = -0.57


A relaxed LaNi crystal. Source: Alexandria via LeMat-Bulk, functional PBE.

a b c (Å): 6.2659 6.2659 6.2659
angles (deg): 90.00 90.00 90.00
Closest atoms and distances in Å follow each position.
Space group F-43m (No. 216)
Symmetry-distinct sites (fractional):
1 La 0.0000 0.0000 0.0000 x4  4 Ni 2.71
2 Ni 0.2500 0.2500 0.7500 x4  4 La 2.71

Computed properties:
- formation energy (eV/f.u.) = 0.59


A relaxed Cu2AsPt crystal. Source: Alexandria via LeMat-Bulk, functional PBE.

a b c (Å): 3.3075 3.3075 5.2937
angles (deg): 90.00 90.00 90.00
Closest atoms and distances in Å follow each position.
Space group P4mm (No. 99)
Symmetry-distinct sites (fractional):
1 Cu 0.0000 0.0000 0.0000 x1  2 Pt 2.58-2.71, 4 Cu 2.59, 4 As 2.77
2 Cu 0.5000 0.5000 0.2108 x1  4 Cu 2.59, 2 As 2.60-2.70, 4 Pt 2.76
3 As 0.5000 0.5000 0.7200 x1  6 Cu 2.60-2.77, 4 Pt 2.64
4 Pt 0.0000 0.0000 0.4873 x1  6 Cu 2.58-2.76, 4 As 2.64

Computed properties:
- formation energy (eV/f.u.) = -0.17


A relaxed RbLi2Sb2 crystal. Source: Alexandria via LeMat-Bulk, functional PBE.

a b c (Å): 5.0138 5.0138 11.4297
angles (deg): 90.00 90.00 90.00
Closest atoms and distances in Å follow each position.
Space group I4/mmm (No. 139)
Symmetry-distinct sites (fractional):
1 Rb 0.0000 0.0000 0.0000 x2  8 Li 3.80, 8 Sb 3.82
2 Li 0.0000 0.5000 0.2500 x4  4 Sb 2.89
3 Sb 0.0000 0.0000 0.3765 x4  1 Sb 2.82, 4 Li 2.89

Computed properties:
- distance to the lowest polymorph of the same formula (meV/atom) = 0
- energy relative to the elements, uncorrected (eV per atom) = -0.46


A relaxed Sr4InGe crystal. Source: Alexandria via LeMat-Bulk, functional PBE.

a b c (Å): 9.9377 14.9680 6.6313
angles (deg): 90.00 111.29 90.00
Closest atoms and distances in Å follow each position.
Space group C2/c (No. 15)
Symmetry-distinct sites (fractional):
1 Sr 0.1152 0.1726 0.0619 x8  2 Ge 3.23-3.27, 1 In 3.52
2 Sr 0.2067 0.4290 0.3447 x8  2 Ge 3.33-3.38, 1 In 3.60
3 In 0.0000 0.3678 0.7500 x4  8 Sr 3.52-3.84
4 Ge 0.0000 0.0021 0.2500 x4  8 Sr 3.23-3.38, 2 Ge 3.32

Computed properties:
- formation energy (eV/f.u.) = -2.32


A relaxed RbIrS2 crystal. Source: Alexandria via LeMat-Bulk, functional PBE.

a b c (Å): 7.3221 4.5596 11.1010
angles (deg): 90.00 90.00 90.00
Closest atoms and distances in Å follow each position.
Space group Pnma (No. 62)
Symmetry-distinct sites (fractional):
1 Rb 0.1390 0.2500 0.1211 x4  8 S 3.26-3.58, 1 Ir 3.51
2 Ir 0.0569 0.7500 0.3764 x4  5 S 2.34-2.41
3 S 0.1009 0.2500 0.4405 x4  3 Ir 2.34-2.41
4 S 0.1479 0.2500 0.7885 x4  2 Ir 2.37

Computed properties:
- energy relative to the elements, uncorrected (eV per atom) = -0.48


A relaxed Ac2Pd crystal. Source: Alexandria via LeMat-Bulk, functional PBE.

a b c (Å): 14.8637 4.3602 7.9892
angles (deg): 90.00 119.80 90.00
Closest atoms and distances in Å follow each position.
Space group C2/m (No. 12)
Symmetry-distinct sites (fractional):
1 Ac 0.1120 0.0000 0.4179 x4  3 Pd 3.02-3.20
2 Ac 0.1405 0.5000 0.0149 x4  3 Pd 3.06-3.12
3 Pd 0.2168 0.5000 0.7145 x4  6 Ac 3.02-3.20

Computed properties:
- distance to the lowest polymorph of the same formula (meV/atom) = 14
- formation energy (eV/f.u.) = -1.39


A relaxed YThAg4 crystal. Source: Alexandria via LeMat-Bulk, functional PBE.

a b c (Å): 8.1242 8.1242 8.1242
angles (deg): 90.00 90.00 90.00
Closest atoms and distances in Å follow each position.
Space group F-43m (No. 216)
Symmetry-distinct sites (fractional):
1 Y 0.0000 0.0000 0.0000 x4  12 Ag 3.37, 4 Th 3.52
2 Th 0.2500 0.2500 0.2500 x4  12 Ag 3.37, 4 Y 3.52
3 Ag 0.1252 0.1252 0.6252 x16  6 Ag 2.87-2.88

Computed properties:
- distance to the lowest polymorph of the same formula (meV/atom) = 87
- formation energy (eV/f.u.) = -0.47


A relaxed HfAlV crystal. Source: Alexandria via LeMat-Bulk, functional PBE.

a b c (Å): 13.9042 3.2950 4.4777
angles (deg): 90.00 90.35 90.00
Closest atoms and distances in Å follow each position.
Space group C2/m (No. 12)
Symmetry-distinct sites (fractional):
1 Hf 0.0768 0.0000 0.2516 x4  2 V 2.79, 6 Al 2.82-3.13, 2 Hf 3.09-3.10
2 Al 0.1143 0.5000 0.7533 x4  4 V 2.62-2.86, 4 Hf 2.82-2.83
3 V 0.2390 0.5000 0.2648 x4  4 Al 2.62-2.86, 4 V 2.69-2.91, 2 Hf 2.79

Computed properties:
- distance to the lowest polymorph of the same formula (meV/atom) = 62
- formation energy (eV/f.u.) = -0.63


A relaxed YH2PdO crystal. Source: Alexandria via LeMat-Bulk, functional PBE.

a b c (Å): 3.3244 3.3244 5.8529
angles (deg): 90.00 90.00 90.00
Closest atoms and distances in Å follow each position.
Space group P4/mmm (No. 123)
Symmetry-distinct sites (fractional):
1 Y 0.0000 0.0000 0.0000 x1  4 O 2.35
2 H 0.0000 0.5000 0.5000 x2  2 Pd 1.66
3 Pd 0.0000 0.0000 0.5000 x1  4 H 1.66
4 O 0.5000 0.5000 0.0000 x1  4 Y 2.35


A relaxed LaTaNiOs2 crystal. Source: Alexandria via LeMat-Bulk, functional PBE.

a b c (Å): 4.8340 4.8340 4.6527
angles (deg): 90.00 90.00 90.00
Closest atoms and distances in Å follow each position.
Space group P4/mmm (No. 123)
Symmetry-distinct sites (fractional):
1 La 0.0000 0.0000 0.0000 x1  8 Os 3.35, 4 Ni 3.42
2 Ta 0.5000 0.5000 0.5000 x1  2 Ni 2.33, 4 Os 2.42
3 Ni 0.5000 0.5000 0.0000 x1  2 Ta 2.33
4 Os 0.0000 0.5000 0.5000 x2  2 Ta 2.42

Computed properties:
- formation energy (eV/f.u.) = 3.89


How do the records compare in raw total energy? In the order shown, they have -5.160, -4.464, -7.765, -2.577, -4.234, -3.701, -6.047, -3.751, -4.526, -8.472, -5.061, -4.763, -3.063, -2.734, -5.005, -4.934, -4.293, -7.814, -5.786, -8.227 eV per atom.
How do the records compare in V? In the order shown, they have 414.0, 74.5, 667.7, 149.5, 252.4, 430.5, 52.1, 411.2, 4310.0, 103.6, 246.0, 57.9, 287.3, 919.1, 370.6, 449.3, 536.2, 205.1, 64.7, 108.7 Å³/cell.